1.
TcPIr3: optimized geometry, PBE-GGA.

Values from the calculation:
VASP energy: -6.515 eV per atom

Cell: 4.690 4.690 4.690 Å, 90.00 90.00 90.00°
Space group Pm-3m (No. 221)
Asymmetric unit:
Tc  0.000  0.000  0.000 (multiplicity 1)
P  0.500  0.500  0.500 (multiplicity 1)
Ir  0.000  0.000  0.500 (multiplicity 3)

=====

2.
Er4Zn3In: optimized geometry, PBE-GGA.

Values from the calculation:
VASP energy: -3.472 eV per atom

Cell: 5.046 5.046 7.279 Å, 90.00 90.00 90.00°
Space group P4/mmm (No. 123)
Asymmetric unit:
Er  0.000  0.500  0.238 (multiplicity 4)
Zn  0.000  0.000  0.000 (multiplicity 1)
Zn  0.000  0.000  0.500 (multiplicity 1)
Zn  0.500  0.500  0.000 (multiplicity 1)
In  0.500  0.500  0.500 (multiplicity 1)

=====

> Among the records above, which one has the lowest VASP energy?

TcPIr3